KZr2Sb2 | PBEsol | relaxed

Calculated values
space group = I4/mmm, No. 139
ΔE_f (raw) = -0.065 eV/atom
crystal system = tetragonal
N(E_F) = 4.5 states/eV/cell

Unit cell a=6.2788 b=6.2788 c=6.2788 alpha=128.19 beta=128.19 gamma=76.31
Fractional coordinates of all 5 atoms:
K: 0.0000 0.0000 0.0000
Zr: 0.3401 0.3401 0.0000
Zr: 0.6599 0.6599 0.0000
Sb: 0.2500 0.7500 0.5000
Sb: 0.7500 0.2500 0.5000

K3Sc | PBEsol | relaxed

Calculated values
space group = R-3m, No. 166
distance to the lowest polymorph of the same formula = 0.0 meV/atom
crystal system = trigonal
N(E_F) = 4.0 states/eV/cell
E_form = 0.478 eV/atom

Unit cell a=14.7226 b=14.7226 c=14.7226 alpha=15.16 beta=15.16 gamma=15.16
Fractional coordinates of all 4 atoms:
K: 0.0000 0.0000 0.0000
K: 0.2406 0.2406 0.2406
K: 0.7594 0.7594 0.7594
Sc: 0.5000 0.5000 0.5000

KSc3 | PBEsol | relaxed

Calculated values
space group = I4/mmm, No. 139
crystal system = tetragonal
N(E_F) = 5.4 states/eV/cell
E_form = 0.690 eV/atom

Unit cell a=5.9093 b=5.9093 c=5.9093 alpha=131.68 beta=131.68 gamma=70.73
Fractional coordinates of all 4 atoms:
K: 0.0000 0.0000 0.0000
Sc: 0.2500 0.7500 0.5000
Sc: 0.5000 0.5000 0.0000
Sc: 0.7500 0.2500 0.5000

KSc | PBEsol | relaxed

Calculated values
space group = Cm, No. 8
crystal system = monoclinic
N(E_F) = 8.5 states/eV/cell
E_form = 0.544 eV/atom

Unit cell a=8.1129 b=8.1129 c=9.0676 alpha=104.07 beta=104.07 gamma=24.28
Fractional coordinates of all 6 atoms:
K: 0.0000 0.0000 0.0000
K: 0.0567 0.0567 0.5370
K: 0.3226 0.3226 0.6373
Sc: 0.3449 0.3449 0.2156
Sc: 0.6966 0.6966 0.2664
Sc: 0.7293 0.7293 0.9618

KSc | PBEsol | relaxed

Calculated values
space group = P-6m2, No. 187
crystal system = hexagonal
N(E_F) = 4.1 states/eV/cell
E_form = 0.684 eV/atom

Unit cell a=3.4216 b=3.4216 c=6.7597 alpha=90.00 beta=90.00 gamma=120.00
Fractional coordinates of all 2 atoms:
K: 0.0000 0.0000 0.0000
Sc: 0.3333 0.6667 0.5000

KSc5 | PBEsol | relaxed

Calculated values
space group = P4/mmm, No. 123
crystal system = tetragonal
N(E_F) = 9.7 states/eV/cell
E_form = 0.261 eV/atom

Unit cell a=3.5942 b=3.5942 c=13.2785 alpha=90.00 beta=90.00 gamma=90.00
Fractional coordinates of all 6 atoms:
K: 0.0000 0.0000 0.0000
Sc: 0.0000 0.0000 0.3705
Sc: 0.0000 0.0000 0.6295
Sc: 0.5000 0.5000 0.2354
Sc: 0.5000 0.5000 0.5000
Sc: 0.5000 0.5000 0.7646

> N(E_F) of number 1 (KZr2Sb2)?

4.5 states/eV/cell

> Look up the N(E_F) of the first one.

4.5 states/eV/cell